(1)
LiMgV | PBE | relaxed

Values from the calculation:
The density of states at the Fermi level is 2.00 states/eV/f.u. The raw total energy is -3.89 eV/atom. The formation energy comes out at 0.323 eV/atom. The calculation puts the total magnetization at 0.001 μB/cell. As for the symmetry: No. 1.

Cell lengths 4.292, 5.340, 5.540 Å; angles 64.52, 69.25, 69.83 degrees
Element x y z (fractional)
Li1 0.000 0.000 0.000
Li2 0.362 0.324 0.945
Mg1 0.007 0.485 0.502
Mg2 0.657 0.631 0.050
V1 0.339 0.918 0.485
V2 0.674 0.055 0.514

(2)
SrBPd4 | PBE | relaxed

Values from the calculation:
The density of states at the Fermi level is 1.67 states/eV/f.u. The raw total energy is -5.29 eV/atom. The formation energy comes out at -0.436 eV/atom. The calculation puts the total magnetization at 0.000 μB/cell. As for the symmetry: No. 63.

Cell lengths 7.812, 7.812, 6.082 Å; angles 90.00, 90.00, 146.48 degrees
Element x y z (fractional)
Sr1 0.102 0.898 0.750
Sr2 0.898 0.102 0.250
B1 0.396 0.604 0.750
B2 0.604 0.396 0.250
Pd1 0.122 0.878 0.250
Pd2 0.300 0.700 0.512
Pd3 0.300 0.700 0.988
Pd4 0.500 0.500 0.000
Pd5 0.500 0.500 0.500
Pd6 0.700 0.300 0.012
Pd7 0.700 0.300 0.488
Pd8 0.878 0.122 0.750

(3)
Ca2Nd2CuPd4 | PBE | relaxed

Values from the calculation:
The density of states at the Fermi level is 5.37 states/eV/f.u. The raw total energy is -4.66 eV/atom. The formation energy comes out at -0.396 eV/atom. The calculation puts the total magnetization at 0.000 μB/cell. As for the symmetry: No. 139.

Cell lengths 6.529, 6.529, 6.529 Å; angles 114.77, 114.77, 99.32 degrees
Element x y z (fractional)
Ca1 0.250 0.750 0.500
Ca2 0.750 0.250 0.500
Nd1 0.196 0.196 0.000
Nd2 0.804 0.804 0.000
Cu1 0.500 0.500 0.000
Pd1 0.245 0.245 0.490
Pd2 0.245 0.755 0.000
Pd3 0.755 0.245 0.000
Pd4 0.755 0.755 0.510

(4)
Sm2Ho2Tm2Mg | PBE | relaxed

Values from the calculation:
The density of states at the Fermi level is 8.16 states/eV/f.u. The raw total energy is -4.07 eV/atom. The formation energy comes out at 0.090 eV/atom. The calculation puts the total magnetization at 0.000 μB/cell. As for the symmetry: No. 12.

Cell lengths 12.054, 3.630, 11.483 Å; angles 90.00, 119.04, 90.00 degrees
Element x y z (fractional)
Sm1 0.026 0.000 0.243
Sm2 0.474 0.500 0.757
Sm3 0.526 0.500 0.243
Sm4 0.974 0.000 0.757
Ho1 0.181 0.000 0.587
Ho2 0.319 0.500 0.413
Ho3 0.681 0.500 0.587
Ho4 0.819 0.000 0.413
Tm1 0.245 0.000 0.127
Tm2 0.255 0.500 0.873
Tm3 0.745 0.500 0.127
Tm4 0.755 0.000 0.873
Mg1 0.000 0.500 0.000
Mg2 0.500 0.000 0.000

(5)
La3Ag2Pb4 | PBE | relaxed

Values from the calculation:
The density of states at the Fermi level is 3.78 states/eV/f.u. The raw total energy is -4.38 eV/atom. The formation energy comes out at -0.455 eV/atom. The calculation puts the total magnetization at 0.000 μB/cell. As for the symmetry: No. 12.

Cell lengths 6.524, 6.524, 9.389 Å; angles 106.50, 106.50, 43.97 degrees
Element x y z (fractional)
La1 0.000 0.000 0.000
La2 0.365 0.365 0.308
La3 0.635 0.635 0.692
Ag1 0.303 0.303 0.617
Ag2 0.697 0.697 0.383
Pb1 0.068 0.068 0.379
Pb2 0.300 0.300 0.927
Pb3 0.700 0.700 0.073
Pb4 0.932 0.932 0.621

(6)
TiBe4Cu8 | PBE | relaxed

Values from the calculation:
The density of states at the Fermi level is 6.23 states/eV/f.u. The raw total energy is -4.37 eV/atom. The formation energy comes out at -0.093 eV/atom. The calculation puts the total magnetization at 0.000 μB/cell. As for the symmetry: No. 139.

Cell lengths 6.091, 6.091, 6.091 Å; angles 97.80, 97.80, 136.77 degrees
Element x y z (fractional)
Ti1 0.000 0.000 0.000
Be1 0.000 0.000 0.500
Be2 0.000 0.500 0.000
Be3 0.500 0.000 0.000
Be4 0.500 0.500 0.500
Cu1 0.000 0.345 0.345
Cu2 0.000 0.655 0.655
Cu3 0.285 0.500 0.785
Cu4 0.345 0.000 0.345
Cu5 0.500 0.285 0.785
Cu6 0.500 0.715 0.215
Cu7 0.655 0.000 0.655
Cu8 0.715 0.500 0.215

> density of states at the Fermi level of number 6 (TiBe4Cu8)?

6.23 states/eV/f.u.